*1*
TaPtI PBE optimized geometry; ρ = 11.03 Mg/m³; V = 25.231 Å³ per atom; size of the total moment = 0.00 μB/f.u.
1.0
3.461 0.000 -0.003
0.000 12.074 0.000
-0.280 0.000 3.623
Pt Ta I
2 2 2
direct
0.094 0.433 0.510
0.594 0.567 0.010
0.162 0.661 0.458
0.662 0.339 0.958
0.661 0.847 0.490
0.161 0.153 0.990



*2*
TaPtI PBE optimized geometry; ρ = 10.54 Mg/m³; V = 26.409 Å³ per atom; size of the total moment = 0.00 μB/f.u.
1.0
-4.373 -11.103 -2.767
3.296 -1.622 1.300
-2.205 0.608 6.346
Ta Pt I
4 4 4
direct
0.534 0.500 0.291
0.197 0.500 0.849
0.534 0.000 0.791
0.197 0.000 0.349
0.293 0.000 0.046
0.436 0.000 0.426
0.293 0.500 0.546
0.436 0.500 0.926
0.699 0.500 0.678
0.699 0.000 0.178
0.028 0.000 0.627
0.028 0.500 0.127



*3*
TaPtI PBE optimized geometry; ρ = 13.17 Mg/m³; V = 21.137 Å³ per atom; size of the total moment = 0.00 μB/f.u.
1.0
-2.453 1.573 -1.668
1.497 -2.684 -1.353
-8.786 -7.736 5.628
I Ta Pt
2 2 2
direct
0.666 0.333 0.307
0.666 0.333 0.693
0.333 0.666 0.853
0.333 0.666 0.147
0.666 0.333 0.000
0.002 0.003 0.500



*4*
TaPtI PBE optimized geometry; ρ = 10.43 Mg/m³; V = 26.679 Å³ per atom; size of the total moment = 0.00 μB/f.u.
1.0
-3.819 0.722 1.279
-1.315 -2.439 -2.549
1.205 -7.767 6.810
I Pt Ta
2 2 2
direct
0.257 0.250 0.831
0.743 0.750 0.169
0.861 0.250 0.584
0.139 0.750 0.416
0.445 0.750 0.632
0.555 0.250 0.368



So which one is most stable? That would be *1*, about 15 meV/atom below the next structure.



*1*
TaPt3I PBE optimized geometry; ρ = 12.06 Mg/m³; V = 24.584 Å³ per atom; size of the total moment = 0.00 μB/f.u.
1.0
4.972 0.000 0.000
0.000 4.972 0.000
0.000 0.000 4.972
Pt Ta I
3 1 1
direct
0.000 0.500 0.000
0.000 0.000 0.500
0.500 0.000 0.000
0.000 0.000 0.000
0.500 0.500 0.500



*2*
TaPt3I PBE optimized geometry; ρ = 12.62 Mg/m³; V = 23.494 Å³ per atom; size of the total moment = 2.54 μB/f.u.
1.0
-0.845 1.165 4.681
-4.605 -1.612 -0.430
1.438 -4.476 1.374
Pt I Ta
3 1 1
direct
0.000 0.500 0.000
0.500 0.000 0.000
0.000 0.000 0.500
0.000 0.000 0.000
0.500 0.500 0.500



So which one is most stable? That would be *1*, about 623 meV/atom below the next structure.